No. 1
First-principles (PBE) data for crystalline MgBPd3 at its relaxed geometry, as listed in OQMD via LeMat-Bulk.

As for the energy above the lowest structure with this stoichiometry: 0 meV/atom.

The space group is Cc (No. 9) and the conventional cell measures 9.708, 5.739 and 5.638 Å, with angles of 90.00, 114.72 and 90.00 degrees. The inequivalent atoms are Mg at (0.000, 0.203, 0.000), B at (0.293, 0.252, 0.746), Pd at (0.021, 0.298, 0.526), Pd at (0.244, 0.057, 0.407) and Pd at (0.263, 0.428, 0.049).

No. 2
First-principles (PBE) data for crystalline PuTh2Os2 at its relaxed geometry, as listed in OQMD via LeMat-Bulk.

As for the formation energy: -275 meV/atom.

The space group is C2/c (No. 15) and the conventional cell measures 10.320, 5.854 and 7.941 Å, with angles of 90.00, 101.46 and 90.00 degrees. The inequivalent atoms are Pu at (0.000, 0.152, 0.250), Th at (0.150, 0.367, 0.652) and Os at (0.133, 0.133, 0.001).